No. 1
A plane-wave DFT calculation with PBE was carried out for a relaxed PmMg2In crystal.

Results
**Mass density**: 4.91 g/cm3
**N(E_F)**: 2.57 states/eV/f.u.
**Energy above the lowest structure with this stoichiometry**: 169 meV per atom

Cell: 3.563 3.563 8.219 Å, 90.00 90.00 90.00°
Positions (direct):
Pm 0.000 0.000 0.000
Mg 0.500 0.500 0.282
Mg 0.500 0.500 0.718
In 0.000 0.000 0.500

***

No. 2
A plane-wave DFT calculation with PBE was carried out for a relaxed Y2NiAu2 crystal.

Results
**Mass density**: 9.46 g/cm3
**N(E_F)**: 3.57 states/eV/f.u.

Cell: 7.405 7.405 4.038 Å, 90.00 90.00 90.00°
Positions (direct):
Y 0.172 0.328 0.000
Y 0.328 0.828 0.000
Y 0.672 0.172 0.000
Y 0.828 0.672 0.000
Ni 0.000 0.000 0.500
Ni 0.500 0.500 0.500
Au 0.136 0.636 0.500
Au 0.364 0.136 0.500
Au 0.636 0.864 0.500
Au 0.864 0.364 0.500

***

no.,E_tot (Ry per atom),formation energy from the elements (eV per formula unit)
1,-0.20528,-0.494
2,-0.41018,-2.640